La9Ho4Er | PBE | relaxed

Lattice parameters (Å, degrees): 10.038 10.038 11.515 90.00 90.00 120.00
Positions (direct):
La (0.078, 0.539, 0.250)
La (0.207, 0.415, 0.529)
La (0.207, 0.415, 0.971)
La (0.207, 0.793, 0.529)
La (0.207, 0.793, 0.971)
La (0.415, 0.207, 0.029)
La (0.415, 0.207, 0.471)
La (0.461, 0.539, 0.250)
La (0.461, 0.922, 0.250)
La (0.539, 0.078, 0.750)
La (0.539, 0.461, 0.750)
La (0.585, 0.793, 0.529)
La (0.585, 0.793, 0.971)
La (0.793, 0.207, 0.029)
La (0.793, 0.207, 0.471)
La (0.793, 0.585, 0.029)
La (0.793, 0.585, 0.471)
La (0.922, 0.461, 0.750)
Ho (0.000, 0.000, 0.000)
Ho (0.000, 0.000, 0.500)
Ho (0.109, 0.219, 0.250)
Ho (0.109, 0.891, 0.250)
Ho (0.219, 0.109, 0.750)
Ho (0.781, 0.891, 0.250)
Ho (0.891, 0.109, 0.750)
Ho (0.891, 0.781, 0.750)
Er (0.333, 0.667, 0.750)
Er (0.667, 0.333, 0.250)

## Properties
The formation energy comes out at 145 meV per atom. As for the symmetry: P6_3/mmc, No. 194. The calculation puts the volume at 502 Å³/f.u. As for the calculated total energy: -130.38 eV per cell. As for the crystal system: hexagonal.

LaZn2Pt | PBE | relaxed

Lattice parameters (Å, degrees): 4.372 4.372 5.708 112.37 112.37 59.81
Positions (direct):
La (0.000, 0.000, 0.000)
Zn (0.209, 0.209, 0.627)
Zn (0.791, 0.791, 0.373)
Pt (0.500, 0.500, 0.500)

## Properties
The formation energy comes out at -591 meV per atom. As for the symmetry: C2/m, No. 12. The calculation puts the volume at 85 Å³/f.u. As for the calculated total energy: -15.88 eV per cell. As for the crystal system: monoclinic.

ScAs2Ir | PBE | relaxed

Lattice parameters (Å, degrees): 9.034 9.034 9.034 152.77 152.77 38.89
Positions (direct):
Sc (0.000, 0.000, 0.000)
Sc (0.750, 0.250, 0.500)
As (0.171, 0.625, 0.046)
As (0.375, 0.421, 0.546)
As (0.579, 0.125, 0.954)
As (0.875, 0.829, 0.454)
Ir (0.250, 0.750, 0.500)
Ir (0.500, 0.500, 0.000)

## Properties
The formation energy comes out at -373 meV per atom. As for the symmetry: I-42d, No. 122. The calculation puts the volume at 77 Å³/f.u. As for the calculated total energy: -51.97 eV per cell. As for the crystal system: tetragonal.

RbHgBi2Se4 | PBE | relaxed

Lattice parameters (Å, degrees): 7.534 7.534 16.032 90.00 90.00 146.01
Positions (direct):
Rb (0.121, 0.879, 0.750)
Rb (0.879, 0.121, 0.250)
Hg (0.167, 0.833, 0.250)
Hg (0.833, 0.167, 0.750)
Bi (0.371, 0.629, 0.558)
Bi (0.371, 0.629, 0.942)
Bi (0.629, 0.371, 0.058)
Bi (0.629, 0.371, 0.442)
Se (0.000, 0.000, 0.000)
Se (0.000, 0.000, 0.500)
Se (0.262, 0.738, 0.100)
Se (0.262, 0.738, 0.400)
Se (0.442, 0.558, 0.750)
Se (0.558, 0.442, 0.250)
Se (0.738, 0.262, 0.600)
Se (0.738, 0.262, 0.900)

## Properties
As for the symmetry: Cmcm, No. 63. Its energy relative to the elements, uncorrected is -0.437 eV/atom. The calculation puts the volume at 254 Å³/f.u. As for the calculated total energy: -52.92 eV per cell. As for the crystal system: orthorhombic.

RbNa2GeTe4 | PBE | relaxed

Lattice parameters (Å, degrees): 9.356 9.356 8.796 115.20 115.20 91.55
Positions (direct):
Rb (0.000, 0.000, 0.000)
Rb (0.000, 0.000, 0.500)
Na (0.000, 0.500, 0.000)
Na (0.500, 0.000, 0.500)
Na (0.500, 0.500, 0.000)
Na (0.500, 0.500, 0.500)
Ge (0.000, 0.500, 0.500)
Ge (0.500, 0.000, 0.000)
Te (0.192, 0.668, 0.429)
Te (0.224, 0.332, 0.538)
Te (0.332, 0.224, 0.038)
Te (0.332, 0.808, 0.071)
Te (0.668, 0.192, 0.929)
Te (0.668, 0.776, 0.962)
Te (0.776, 0.668, 0.462)
Te (0.808, 0.332, 0.571)

## Properties
As for the symmetry: C2/c, No. 15. Its energy relative to the elements, uncorrected is -0.301 eV/atom. The calculation puts the volume at 305 Å³/f.u. As for the calculated total energy: -46.39 eV per cell. As for the crystal system: monoclinic.

Dy2Ga3Au | PBE | relaxed

Lattice parameters (Å, degrees): 3.602 4.478 7.730 90.00 90.00 90.00
Positions (direct):
Dy (0.000, 0.000, 0.000)
Dy (0.000, 0.500, 0.499)
Ga (0.500, 0.000, 0.334)
Ga (0.500, 0.000, 0.664)
Ga (0.500, 0.500, 0.169)
Au (0.500, 0.500, 0.832)

## Properties
The formation energy comes out at -720 meV per atom. As for the symmetry: Pmm2, No. 25. The calculation puts the volume at 125 Å³/f.u. As for the calculated total energy: -25.88 eV per cell. As for the crystal system: orthorhombic.

Cs2RbScI6 | PBE | relaxed

Lattice parameters (Å, degrees): 8.555 12.774 9.843 90.00 90.00 90.00
Positions (direct):
Cs (0.250, 0.035, 0.186)
Cs (0.250, 0.465, 0.186)
Cs (0.750, 0.535, 0.814)
Cs (0.750, 0.965, 0.814)
Rb (0.250, 0.250, 0.697)
Rb (0.750, 0.750, 0.303)
Sc (0.250, 0.750, 0.795)
Sc (0.750, 0.250, 0.205)
I (0.005, 0.750, 0.594)
I (0.016, 0.750, 0.012)
I (0.250, 0.522, 0.794)
I (0.250, 0.978, 0.794)
I (0.484, 0.750, 0.012)
I (0.495, 0.750, 0.594)
I (0.505, 0.250, 0.406)
I (0.516, 0.250, 0.988)
I (0.750, 0.022, 0.206)
I (0.750, 0.478, 0.206)
I (0.984, 0.250, 0.988)
I (0.995, 0.250, 0.406)

## Properties
As for the symmetry: Pmmn, No. 59. Its energy relative to the elements, uncorrected is -1.414 eV/atom. The calculation puts the volume at 538 Å³/f.u. As for the calculated total energy: -64.89 eV per cell. As for the crystal system: orthorhombic.

Li3SbAs | PBE | relaxed

Lattice parameters (Å, degrees): 5.939 5.939 5.939 80.71 80.71 80.71
Positions (direct):
Li (0.050, 0.300, 0.650)
Li (0.150, 0.800, 0.550)
Li (0.300, 0.650, 0.050)
Li (0.550, 0.150, 0.800)
Li (0.650, 0.050, 0.300)
Li (0.800, 0.550, 0.150)
Sb (0.166, 0.166, 0.166)
Sb (0.666, 0.666, 0.666)
As (0.440, 0.440, 0.440)
As (0.940, 0.940, 0.940)

## Properties
As for the symmetry: R3c, No. 161. Its energy relative to the elements, uncorrected is -0.471 eV/atom. The calculation puts the volume at 101 Å³/f.u. As for the calculated total energy: -33.74 eV per cell. As for the crystal system: trigonal.

Nb3V2W4 | PBE | relaxed

Lattice parameters (Å, degrees): 4.513 4.513 8.272 90.00 90.00 120.00
Positions (direct):
Nb (0.000, 0.000, 0.000)
Nb (0.333, 0.667, 0.560)
Nb (0.667, 0.333, 0.440)
V (0.333, 0.667, 0.217)
V (0.667, 0.333, 0.783)
W (0.000, 0.000, 0.331)
W (0.000, 0.000, 0.669)
W (0.333, 0.667, 0.889)
W (0.667, 0.333, 0.111)

## Properties
The formation energy comes out at -21 meV per atom. As for the symmetry: P-3m1, No. 164. The calculation puts the volume at 146 Å³/f.u. As for the calculated total energy: -100.45 eV per cell. As for the crystal system: trigonal.

CuTe | PBE | relaxed

Lattice parameters (Å, degrees): 4.104 4.104 3.093 90.00 90.00 120.00
Positions (direct):
Cu (0.000, 0.000, 0.000)
Te (0.667, 0.333, 0.500)

## Properties
As for the symmetry: P-6m2, No. 187. Its energy relative to the elements, uncorrected is 0.165 eV/atom. The calculation puts the volume at 45 Å³/f.u. As for the calculated total energy: -6.91 eV per cell. As for the crystal system: hexagonal.

CuSi2P | PBE | relaxed

Lattice parameters (Å, degrees): 2.664 4.338 4.933 90.00 90.00 90.00
Positions (direct):
Cu (0.000, 0.000, 0.000)
Si (0.000, 0.000, 0.500)
Si (0.500, 0.500, 0.500)
P (0.500, 0.500, 0.000)

## Properties
As for the symmetry: Pmmm, No. 47. Its energy relative to the elements, uncorrected is 0.267 eV/atom. The calculation puts the volume at 57 Å³/f.u. As for the calculated total energy: -19.28 eV per cell. As for the crystal system: orthorhombic.

PrGa4CuRh2 | PBE | relaxed

Lattice parameters (Å, degrees): 9.114 9.114 9.114 27.20 27.20 27.20
Positions (direct):
Pr (0.000, 0.000, 0.000)
Ga (0.129, 0.129, 0.129)
Ga (0.402, 0.402, 0.402)
Ga (0.598, 0.598, 0.598)
Ga (0.871, 0.871, 0.871)
Cu (0.500, 0.500, 0.500)
Rh (0.227, 0.227, 0.227)
Rh (0.773, 0.773, 0.773)

## Properties
The formation energy comes out at -538 meV per atom. As for the symmetry: R-3m, No. 166. The calculation puts the volume at 140 Å³/f.u. As for the calculated total energy: -39.99 eV per cell. As for the crystal system: trigonal.